# Sr3BiF, optimized geometry, DFT PBE
# Crystal system: cubic
# M_tot in Bohr magnetons per cell: 1.12
# Formation energy without anion corrections in meV per atom: -1289
# Excess energy over the best structure of this formula in the dataset in eV/atom: 0.236
# DFT total energy in eV/atom: -3.45
data_Sr3BiF
_chemical_formula_sum 'Sr3 Bi1 F1'
_cell_length_a 5.422
_cell_length_b 5.422
_cell_length_c 5.422
_cell_angle_alpha 90.00
_cell_angle_beta 90.00
_cell_angle_gamma 90.00
_symmetry_space_group_name_H-M 'P m -3 m'
_symmetry_Int_Tables_number 221
_symmetry_space_group_name_Hall '-P 4 2 3'
loop_
_atom_site_label
_atom_site_fract_x
_atom_site_fract_y
_atom_site_fract_z
_atom_site_occupancy
Sr1 0.000 0.000 0.500 1
Bi1 0.500 0.500 0.500 1
F1 0.000 0.000 0.000 1